Zr2ReTc | PBE | relaxed

Its magnetic moment is 0.0 μB/f.u. For the formation energy, the calculation gives 464 meV per atom.

Cell: 7.373 7.373 5.617 Å, 90.00 90.00 90.00°
Space group I-42d (No. 122)
Unique sites:
Zr: 0.246 0.250 0.125 (multiplicity 8)
Re: 0.000 0.000 0.500 (multiplicity 4)
Tc: 0.000 0.000 0.000 (multiplicity 4)

HoEr12Th7 | PBE | relaxed

Its magnetic moment is 0.0 μB/f.u. For the formation energy, the calculation gives 231 meV per atom.

Cell: 9.8429 9.8429 23.4323 Å, 90.00 90.00 120.00°
Space group R-3m (No. 166, hexagonal axes)
Unique sites:
Ho: 0.0000 0.0000 0.0000 (multiplicity 3)
Er: 0.0853 0.5427 0.8050 (multiplicity 18)
Er: 0.1072 0.5536 0.0562 (multiplicity 18)
Th: 0.0000 0.0000 0.5000 (multiplicity 3)
Th: 0.0967 0.5483 0.4015 (multiplicity 18)

La2TeH | PBE | relaxed

Its magnetic moment is 0.0 μB/f.u. The calculation puts the total energy at -80.0 eV/cell.

Cell: 7.498 7.498 7.342 Å, 90.00 90.00 90.00°
Space group I-42d (No. 122)
Unique sites:
La: 0.160 0.750 0.125 (multiplicity 8)
Te: 0.000 0.000 0.500 (multiplicity 4)
H: 0.000 0.000 0.000 (multiplicity 4)

ZnSbOs | PBE | relaxed

The uncorrected formation energy is 0.274 eV/atom. Its magnetic moment is 0.0 μB/f.u.

Cell: 6.163 6.163 6.163 Å, 90.00 90.00 90.00°
Space group F-43m (No. 216)
Unique sites:
Zn: 0.000 0.000 0.000 (multiplicity 4)
Sb: 0.000 0.000 0.500 (multiplicity 4)
Os: 0.250 0.250 0.750 (multiplicity 4)

- Look up the magnetic moment of the first one.
  0.0 μB/f.u.